The following is a GGA-PBE calculation of an optimized crystal structure of BaCr2InCl8, from Alexandria.

Properties
Density in kg/m³: 2315
Formation energy (no corrections) in eV/atom: -1.21
M_tot in μB/cell: 7.00
N(E_F) in states/eV per atom: 1.070
Calculated volume in A^3/atom: 38.235

The structure in POSCAR format:
```
BaCr2InCl8
1.0
7.552 0.000 0.000
-3.776 6.540 0.000
0.000 0.000 9.290
Ba Cr In Cl
1 2 1 8
Direct
0.000 0.000 0.000 Ba
0.333 0.667 0.816 Cr
0.667 0.333 0.184 Cr
0.000 0.000 0.500 In
0.148 0.327 0.748 Cl
0.179 0.852 0.748 Cl
0.327 0.179 0.252 Cl
0.333 0.667 0.053 Cl
0.667 0.333 0.947 Cl
0.673 0.821 0.748 Cl
0.821 0.148 0.252 Cl
0.852 0.673 0.252 Cl
```

The following is a GGA-PBE calculation of an optimized crystal structure of BaCr2InCl, from Alexandria.

Properties
Density in kg/m³: 2366
Formation energy (no corrections) in eV/atom: 1.44
M_tot in μB/cell: 11.03
N(E_F) in states/eV per atom: 0.803
Calculated volume in A^3/atom: 54.962

The structure in POSCAR format:
```
BaCr2InCl
1.0
6.244 0.000 0.000
0.000 6.244 0.000
0.000 0.000 7.048
Ba Cr In Cl
1 2 1 1
Direct
0.000 0.000 0.000 Ba
0.000 0.500 0.000 Cr
0.500 0.000 0.000 Cr
0.000 0.000 0.500 In
0.500 0.500 0.500 Cl
```